{
  "formula": "Li4TmPu3S8",
  "functional": "GGA-PBE",
  "state": "relaxed",
  "lattice_angstrom": [[-7.717, 1.557, 0.356], [-1.526, -6.933, -2.774], [4.506, 0.929, 6.398]],
  "species": ["Li", "Li", "Li", "Li", "Tm", "Pu", "Pu", "Pu", "S", "S", "S", "S", "S", "S", "S", "S"],
  "fractional_positions": [[0.500, 0.000, 0.000], [0.500, 0.000, 0.500], [0.000, 0.000, 0.000], [0.000, 0.000, 0.500], [0.000, 0.500, 0.000], [0.500, 0.500, 0.000], [0.500, 0.500, 0.500], [0.000, 0.500, 0.500], [0.248, 0.751, 0.003], [0.248, 0.751, 0.496], [0.250, 0.251, 0.501], [0.755, 0.751, 0.003], [0.245, 0.249, 0.997], [0.750, 0.749, 0.499], [0.752, 0.249, 0.504], [0.752, 0.249, 0.997]],
  "final_energy_ev_per_atom": -7.129,
  "e_form_raw_kj_per_mol_atoms": -156.3,
  "crystal_system": "trigonal"
}

{
  "formula": "LiTm2PuS4",
  "functional": "GGA-PBE",
  "state": "relaxed",
  "lattice_angstrom": [[-1.980, 3.050, 1.328], [0.285, -2.515, 6.200], [5.344, 3.948, -1.096]],
  "species": ["Li", "Tm", "Tm", "Pu", "S", "S", "S", "S"],
  "fractional_positions": [[0.000, 0.000, 0.000], [0.500, 0.000, 0.500], [0.000, 0.500, 0.500], [0.500, 0.500, 0.000], [0.500, 0.245, 0.254], [0.500, 0.755, 0.746], [0.000, 0.244, 0.745], [0.000, 0.756, 0.255]],
  "final_energy_ev_per_atom": -7.057,
  "e_form_raw_kj_per_mol_atoms": -178.0,
  "crystal_system": "monoclinic"
}

{
  "formula": "Li3Tm3PuS8",
  "functional": "GGA-PBE",
  "state": "relaxed",
  "lattice_angstrom": [[7.780, 0.000, 0.000], [-3.890, 6.737, -0.024], [0.000, -4.472, 6.175]],
  "species": ["Li", "Li", "Li", "Tm", "Tm", "Tm", "Pu", "S", "S", "S", "S", "S", "S", "S", "S"],
  "fractional_positions": [[0.000, 0.000, 0.000], [0.000, 0.500, 0.000], [0.500, 0.500, 0.000], [0.500, 0.000, 0.500], [0.500, 0.500, 0.500], [0.000, 0.500, 0.500], [0.000, 0.000, 0.500], [0.251, 0.502, 0.253], [0.749, 0.498, 0.747], [0.754, 0.509, 0.258], [0.246, 0.491, 0.742], [0.754, 0.003, 0.258], [0.246, 0.997, 0.742], [0.249, 0.003, 0.258], [0.751, 0.997, 0.742]],
  "final_energy_ev_per_atom": -6.172,
  "e_form_raw_kj_per_mol_atoms": -167.7,
  "crystal_system": "trigonal"
}

{
  "formula": "LiTm3Pu3S8",
  "functional": "GGA-PBE",
  "state": "relaxed",
  "lattice_angstrom": [[-1.002, -1.799, 7.483], [6.157, -2.731, -3.857], [-0.440, 7.556, 1.758]],
  "species": ["Li", "Tm", "Tm", "Tm", "Pu", "Pu", "Pu", "S", "S", "S", "S", "S", "S", "S", "S"],
  "fractional_positions": [[0.000, 0.000, 0.500], [0.500, 0.000, 0.500], [0.500, 0.500, 0.500], [0.000, 0.500, 0.500], [0.000, 0.000, 0.000], [0.000, 0.500, 0.000], [0.500, 0.500, 0.000], [0.252, 0.505, 0.257], [0.748, 0.495, 0.743], [0.754, 0.509, 0.260], [0.246, 0.491, 0.740], [0.754, 0.006, 0.260], [0.246, 0.994, 0.740], [0.252, 0.006, 0.260], [0.748, 0.994, 0.740]],
  "final_energy_ev_per_atom": -7.906,
  "e_form_raw_kj_per_mol_atoms": -175.2,
  "crystal_system": "trigonal"
}

{
  "formula": "Li4Tm3PuS8",
  "functional": "GGA-PBE",
  "state": "relaxed",
  "lattice_angstrom": [[-4.174, -5.560, 3.484], [6.274, -2.496, 3.534], [-2.187, 7.440, 0.575]],
  "species": ["Li", "Li", "Li", "Li", "Tm", "Tm", "Tm", "Pu", "S", "S", "S", "S", "S", "S", "S", "S"],
  "fractional_positions": [[0.500, 0.000, 0.000], [0.500, 0.000, 0.500], [0.000, 0.000, 0.000], [0.000, 0.000, 0.500], [0.500, 0.500, 0.000], [0.500, 0.500, 0.500], [0.000, 0.500, 0.500], [0.000, 0.500, 0.000], [0.253, 0.749, 0.997], [0.253, 0.749, 0.505], [0.251, 0.252, 0.501], [0.744, 0.749, 0.997], [0.256, 0.251, 0.003], [0.749, 0.748, 0.499], [0.747, 0.251, 0.495], [0.747, 0.251, 0.003]],
  "final_energy_ev_per_atom": -6.044,
  "e_form_raw_kj_per_mol_atoms": -170.5,
  "crystal_system": "trigonal"
}

{
  "formula": "Li3Tm2PuS6",
  "functional": "GGA-PBE",
  "state": "relaxed",
  "lattice_angstrom": [[6.760, -0.001, 0.001], [-3.379, 5.855, 0.001], [-1.127, -1.951, 6.144]],
  "species": ["Li", "Li", "Li", "Tm", "Tm", "Pu", "S", "S", "S", "S", "S", "S"],
  "fractional_positions": [[0.169, 0.831, 0.500], [0.831, 0.169, 0.500], [0.500, 0.500, 0.500], [0.334, 0.666, 0.000], [0.666, 0.334, 0.000], [0.000, 0.000, 0.000], [0.917, 0.577, 0.751], [0.743, 0.743, 0.250], [0.083, 0.423, 0.249], [0.577, 0.917, 0.751], [0.257, 0.257, 0.750], [0.423, 0.083, 0.249]],
  "final_energy_ev_per_atom": -6.216,
  "e_form_raw_kj_per_mol_atoms": -167.3,
  "crystal_system": "monoclinic"
}

{
  "formula": "Li4PuU3S8",
  "functional": "GGA-PBE",
  "state": "relaxed",
  "lattice_angstrom": [[7.765, 0.000, 0.000], [0.000, 7.678, -0.068], [-3.883, -3.878, 5.495]],
  "species": ["Li", "Li", "Li", "Li", "Pu", "U", "U", "U", "S", "S", "S", "S", "S", "S", "S", "S"],
  "fractional_positions": [[0.500, 0.000, 0.000], [0.500, 0.000, 0.500], [0.000, 0.000, 0.000], [0.000, 0.000, 0.500], [0.000, 0.500, 0.000], [0.500, 0.500, 0.000], [0.500, 0.500, 0.500], [0.000, 0.500, 0.500], [0.254, 0.755, 0.001], [0.254, 0.755, 0.508], [0.247, 0.241, 0.494], [0.747, 0.755, 0.001], [0.253, 0.245, 0.999], [0.753, 0.759, 0.506], [0.746, 0.245, 0.492], [0.746, 0.245, 0.999]],
  "final_energy_ev_per_atom": -6.978,
  "e_form_raw_kj_per_mol_atoms": -137.3,
  "crystal_system": "trigonal"
}

{
  "formula": "Li3Pu3US8",
  "functional": "GGA-PBE",
  "state": "relaxed",
  "lattice_angstrom": [[8.014, -0.001, -0.012], [-4.008, 6.942, -0.023], [-0.009, -4.611, 6.094]],
  "species": ["Li", "Li", "Li", "Pu", "Pu", "Pu", "U", "S", "S", "S", "S", "S", "S", "S", "S"],
  "fractional_positions": [[0.000, 0.000, 0.000], [0.000, 0.500, 0.000], [0.500, 0.500, 0.000], [0.500, 0.000, 0.500], [0.500, 0.500, 0.500], [0.000, 0.500, 0.500], [0.000, 0.000, 0.500], [0.251, 0.501, 0.250], [0.749, 0.499, 0.750], [0.759, 0.519, 0.257], [0.241, 0.481, 0.743], [0.759, 0.996, 0.257], [0.241, 0.004, 0.743], [0.240, 0.000, 0.259], [0.760, 0.000, 0.741]],
  "final_energy_ev_per_atom": -7.692,
  "e_form_raw_kj_per_mol_atoms": -143.7,
  "crystal_system": "monoclinic"
}

{
  "formula": "LiPu2US6",
  "functional": "GGA-PBE",
  "state": "relaxed",
  "lattice_angstrom": [[-5.269, -2.754, 2.393], [3.341, -5.038, 1.558], [1.211, 2.529, 5.578]],
  "species": ["Li", "Pu", "Pu", "U", "S", "S", "S", "S", "S", "S"],
  "fractional_positions": [[0.533, 0.000, 0.000], [0.003, 0.500, 0.000], [0.003, 0.000, 0.500], [0.587, 0.500, 0.500], [0.744, 0.240, 0.240], [0.744, 0.240, 0.760], [0.176, 0.500, 0.500], [0.168, 0.000, 0.000], [0.744, 0.760, 0.760], [0.744, 0.760, 0.240]],
  "final_energy_ev_per_atom": -7.821,
  "e_form_raw_kj_per_mol_atoms": -111.7,
  "crystal_system": "tetragonal"
}

{
  "formula": "LiPu3U3S8",
  "functional": "GGA-PBE",
  "state": "relaxed",
  "lattice_angstrom": [[7.688, -0.009, 0.003], [-3.852, 6.654, -0.027], [0.007, -4.412, 6.475]],
  "species": ["Li", "Pu", "Pu", "Pu", "U", "U", "U", "S", "S", "S", "S", "S", "S", "S", "S"],
  "fractional_positions": [[0.000, 0.000, 0.500], [0.000, 0.000, 0.000], [0.000, 0.500, 0.000], [0.500, 0.500, 0.000], [0.500, 0.000, 0.500], [0.500, 0.500, 0.500], [0.000, 0.500, 0.500], [0.250, 0.501, 0.251], [0.750, 0.499, 0.749], [0.755, 0.506, 0.259], [0.245, 0.494, 0.741], [0.755, 0.004, 0.259], [0.245, 0.996, 0.741], [0.252, 0.004, 0.259], [0.748, 0.996, 0.741]],
  "final_energy_ev_per_atom": -8.949,
  "e_form_raw_kj_per_mol_atoms": -144.4,
  "crystal_system": "monoclinic"
}

{
  "formula": "Li3PuU3S8",
  "functional": "GGA-PBE",
  "state": "relaxed",
  "lattice_angstrom": [[-3.441, -5.503, -4.415], [7.078, 2.759, -1.976], [-0.912, -4.397, 6.190]],
  "species": ["Li", "Li", "Li", "Pu", "U", "U", "U", "S", "S", "S", "S", "S", "S", "S", "S"],
  "fractional_positions": [[0.000, 0.000, 0.000], [0.000, 0.500, 0.000], [0.500, 0.500, 0.000], [0.000, 0.000, 0.500], [0.500, 0.000, 0.500], [0.500, 0.500, 0.500], [0.000, 0.500, 0.500], [0.248, 0.495, 0.243], [0.752, 0.505, 0.757], [0.750, 0.500, 0.254], [0.250, 0.500, 0.746], [0.750, 0.004, 0.254], [0.250, 0.996, 0.746], [0.254, 0.004, 0.254], [0.746, 0.996, 0.746]],
  "final_energy_ev_per_atom": -7.212,
  "e_form_raw_kj_per_mol_atoms": -136.5,
  "crystal_system": "trigonal"
}

{
  "formula": "Li2PuUS4",
  "functional": "GGA-PBE",
  "state": "relaxed",
  "lattice_angstrom": [[3.919, 0.000, 0.000], [0.000, 6.810, 0.124], [0.000, -2.364, 6.112]],
  "species": ["Li", "Li", "Pu", "U", "S", "S", "S", "S"],
  "fractional_positions": [[0.500, 0.000, 0.500], [0.000, 0.500, 0.500], [0.000, 0.000, 0.000], [0.500, 0.500, 0.000], [0.500, 0.257, 0.252], [0.500, 0.743, 0.748], [0.000, 0.253, 0.746], [0.000, 0.747, 0.254]],
  "final_energy_ev_per_atom": -7.219,
  "e_form_raw_kj_per_mol_atoms": -142.3,
  "crystal_system": "monoclinic"
}